Th2ZnCdOs | PBE | relaxed Values from VASP.

Calculated values
The calculation puts the total energy at -57.8 eV per cell. Its space-group type is P2_1/m, No. 11. For the formation energy, the calculation gives -129.7 meV per atom. The density of states at the Fermi level comes out at 0.63 states/eV/atom.

```
&SYSTEM
  ibrav = 0, nat = 10, ntyp = 4
/
ATOMIC_SPECIES
Th 232.04 Th.upf
Zn 65.41 Zn.upf
Cd 112.41 Cd.upf
Os 190.23 Os.upf
CELL_PARAMETERS angstrom
7.505 0.000 0.000
0.000 4.546 0.000
-0.857 0.000 7.552
ATOMIC_POSITIONS crystal
Th 0.139 0.250 0.421
Th 0.202 0.250 0.970
Th 0.798 0.750 0.030
Th 0.861 0.750 0.579
Zn 0.476 0.750 0.311
Zn 0.524 0.250 0.689
Cd 0.338 0.750 0.685
Cd 0.662 0.250 0.315
Os 0.149 0.750 0.209
Os 0.851 0.250 0.791
```